(1)
The following is a PBE calculation of an optimized crystal structure of LaNbPO2, from Alexandria.

Structure (POSCAR):
```
LaNbPO2
1.0
4.1070 0.0000 0.0000
0.0000 4.1070 0.0000
0.0000 0.0000 5.0222
La Nb P O
1 1 1 2
direct
0.0000 0.0000 0.0000
0.5000 0.5000 0.5000
0.5000 0.5000 0.0000
0.0000 0.5000 0.5000
0.5000 0.0000 0.5000
```

Output
Density of states at the Fermi level in states/eV/f.u.: 1.8
ΔE_f (raw) in eV/atom: -2.0086
Symmetry: No. 123
Magnetization in μB/f.u.: 0.02
Offset from the most stable computed form in meV/atom: 0.0

=====

(2)
The following is a PBE calculation of an optimized crystal structure of LiAlPt, from Alexandria.

Structure (POSCAR):
```
LiAlPt
1.0
2.8401 0.0000 0.0000
-0.0035 3.6449 0.0000
-1.4126 -1.8063 4.0510
Li Al Pt
1 1 1
direct
0.0000 0.0000 0.0000
0.6776 0.6790 0.3553
0.3344 0.3345 0.6686
```

Output
Density of states at the Fermi level in states/eV/f.u.: 1.1
Symmetry: No. 1
Magnetization in μB/f.u.: 0.00
Offset from the most stable computed form in meV/atom: 49.3
Formation energy from the elements in eV per formula unit: -2.28

=====

(3)
The following is a PBE calculation of an optimized crystal structure of HoErOs, from Alexandria.

Structure (POSCAR):
```
HoErOs
1.0
6.7263 -1.6891 0.0000
6.7263 1.6891 0.0000
-1.7020 0.0000 6.5310
Ho Er Os
2 2 2
direct
0.1263 0.1263 0.0637
0.8737 0.8737 0.9363
0.1255 0.1255 0.5629
0.8745 0.8745 0.4371
0.5000 0.5000 0.2504
0.5000 0.5000 0.7496
```

Output
Density of states at the Fermi level in states/eV/f.u.: 1.4
Symmetry: No. 12
Magnetization in μB/f.u.: 0.00
Offset from the most stable computed form in meV/atom: 13.5
Formation energy from the elements in eV per formula unit: -0.80

=====

(4)
The following is a PBE calculation of an optimized crystal structure of YRe4Ru, from Alexandria.

Structure (POSCAR):
```
YRe4Ru
1.0
0.0000 3.7238 3.7238
3.7238 0.0000 3.7238
3.7238 3.7238 0.0000
Y Re Ru
1 4 1
direct
0.0000 0.0000 0.0000
0.1230 0.6257 0.6257
0.6257 0.1230 0.6257
0.6257 0.6257 0.1230
0.6257 0.6257 0.6257
0.2500 0.2500 0.2500
```

Output
Density of states at the Fermi level in states/eV/f.u.: 7.2
Symmetry: No. 216
Magnetization in μB/f.u.: 0.00
Formation energy from the elements in eV per formula unit: 1.28

=====

(5)
The following is a PBE calculation of an optimized crystal structure of LiMgZnGa, from Alexandria.

Structure (POSCAR):
```
LiMgZnGa
1.0
4.4863 0.0000 0.0000
-2.2431 3.8852 0.0000
0.0000 0.0000 4.8268
Li Mg Zn Ga
1 1 1 1
direct
0.0000 0.0000 0.0000
0.6667 0.3333 0.5285
0.3333 0.6667 0.2620
0.3333 0.6667 0.7625
```

Output
Density of states at the Fermi level in states/eV/f.u.: 0.9
Symmetry: No. 156
Magnetization in μB/f.u.: 0.00
Formation energy from the elements in eV per formula unit: -0.05

=====

(6)
The following is a PBE calculation of an optimized crystal structure of Pr4Nd3Y2, from Alexandria.

Structure (POSCAR):
```
Pr4Nd3Y2
1.0
7.8009 -2.5944 0.0000
7.8009 2.5944 0.0000
-2.5887 0.0000 7.8057
Pr Nd Y
4 3 2
direct
0.0554 0.0554 0.3338
0.1669 0.1669 0.0005
0.8331 0.8331 0.9995
0.9446 0.9446 0.6662
0.2774 0.2774 0.6648
0.5000 0.5000 0.0000
0.7226 0.7226 0.3352
0.3891 0.3891 0.3343
0.6109 0.6109 0.6657
```

Output
Density of states at the Fermi level in states/eV/f.u.: 14.2
Symmetry: No. 12
Magnetization in μB/f.u.: 0.00
Offset from the most stable computed form in meV/atom: 0.0
Formation energy from the elements in eV per formula unit: 0.13